1.
The following is a DFT calculation (PBE-GGA) of an optimized crystal structure of TbMgZn2.

Cell: 4.8387 4.8387 4.8387 Å, 60.00 60.00 60.00°
Fractional positions:
1 Tb 0.0000 0.0000 0.0000
2 Mg 0.5000 0.5000 0.5000
3 Zn 0.2500 0.2500 0.2500
4 Zn 0.7500 0.7500 0.7500

Values from the calculation:
E = -0.1866 Ry per atom
space group = No. 225

2.
The following is a DFT calculation (PBE-GGA) of an optimized crystal structure of SrLaCr2.

Cell: 5.7084 5.7084 7.7167 Å, 125.85 125.85 37.59°
Fractional positions:
1 Sr 0.0000 0.0000 0.0000
2 La 0.5000 0.5000 0.5000
3 Cr 0.2274 0.2274 0.5512
4 Cr 0.7726 0.7726 0.4488

Values from the calculation:
E = -0.4168 Ry per atom
space group = No. 12

3.
The following is a DFT calculation (PBE-GGA) of an optimized crystal structure of Ce2MoN3.

Cell: 6.9226 6.9226 6.9226 Å, 151.49 146.87 44.26°
Fractional positions:
1 Ce 0.1500 0.1500 0.0000
2 Ce 0.8500 0.8500 0.0000
3 Mo 0.5000 0.5000 0.0000
4 N 0.0000 0.5000 0.5000
5 N 0.3340 0.3340 0.0000
6 N 0.6660 0.6660 0.0000

Values from the calculation:
E = -0.6732 Ry per atom
formation energy without anion corrections = -1.21 eV/atom
space group = No. 71

4.
The following is a DFT calculation (PBE-GGA) of an optimized crystal structure of CaNd8Dy2.

Cell: 9.5611 9.5611 9.5611 Å, 145.26 127.06 64.89°
Fractional positions:
1 Ca 0.0000 0.0000 0.0000
2 Nd 0.1569 0.8575 0.2994
3 Nd 0.1616 0.6616 0.5000
4 Nd 0.3069 0.5000 0.8069
5 Nd 0.4419 0.1425 0.2994
6 Nd 0.5581 0.8575 0.7006
7 Nd 0.6931 0.5000 0.1931
8 Nd 0.8384 0.3384 0.5000
9 Nd 0.8431 0.1425 0.7006
10 Dy 0.2976 0.2976 0.0000
11 Dy 0.7024 0.7024 0.0000

Values from the calculation:
E = -0.3192 Ry per atom
space group = No. 71

Question: The highest E belongs to which entry?
Answer: TbMgZn2

Repeat the fourth record exactly.
The following is a DFT calculation (PBE-GGA) of an optimized crystal structure of CaNd8Dy2.

Cell: 9.5611 9.5611 9.5611 Å, 145.26 127.06 64.89°
Fractional positions:
1 Ca 0.0000 0.0000 0.0000
2 Nd 0.1569 0.8575 0.2994
3 Nd 0.1616 0.6616 0.5000
4 Nd 0.3069 0.5000 0.8069
5 Nd 0.4419 0.1425 0.2994
6 Nd 0.5581 0.8575 0.7006
7 Nd 0.6931 0.5000 0.1931
8 Nd 0.8384 0.3384 0.5000
9 Nd 0.8431 0.1425 0.7006
10 Dy 0.2976 0.2976 0.0000
11 Dy 0.7024 0.7024 0.0000

Values from the calculation:
E = -0.3192 Ry per atom
space group = No. 71

Question: Which formula does entry 1 have?
Answer: TbMgZn2